No. 1
La2Tb5Y5 | PBE | optimized geometry

Cell lengths 8.0545, 8.0545, 11.3756 Å; angles 115.13, 115.13, 36.85 degrees
Fractional coordinates of all 12 atoms:
La: 0.0830 0.0830 0.2487
La: 0.9170 0.9170 0.7513
Tb: 0.0000 0.0000 0.5000
Tb: 0.1686 0.1686 0.0007
Tb: 0.2476 0.2476 0.7495
Tb: 0.7524 0.7524 0.2505
Tb: 0.8314 0.8314 0.9993
Y: 0.3338 0.3338 0.4992
Y: 0.4147 0.4147 0.2497
Y: 0.5000 0.5000 0.0000
Y: 0.5853 0.5853 0.7503
Y: 0.6662 0.6662 0.5008

Values from the calculation:
Symmetry: C2/m (12)
Calculated volume (A^3/atom): 33.0
Energy of formation from the pure elements (eV per atom): 0.0272
Uncorrected energy (eV/atom): -5.417


No. 2
La8Tb2Y3 | PBE | optimized geometry

Cell lengths 7.7569, 5.8502, 11.0410 Å; angles 90.00, 110.54, 90.00 degrees
Fractional coordinates of all 13 atoms:
La: 0.0944 0.0000 0.2891
La: 0.1752 0.5000 0.8498
La: 0.3052 0.0000 0.7111
La: 0.3677 0.5000 0.2357
La: 0.6323 0.5000 0.7643
La: 0.6948 0.0000 0.2889
La: 0.8248 0.5000 0.1502
La: 0.9056 0.0000 0.7109
Tb: 0.2603 0.0000 0.0197
Tb: 0.7397 0.0000 0.9803
Y: 0.2178 0.5000 0.4999
Y: 0.5000 0.0000 0.5000
Y: 0.7822 0.5000 0.5001

Values from the calculation:
Symmetry: P2/m (10)
Calculated volume (A^3/atom): 36.1
Energy of formation from the pure elements (eV per atom): 0.1765
Uncorrected energy (eV/atom): -5.060


No. 3
La3Tb8Y | PBE | optimized geometry

Cell lengths 8.7802, 8.7802, 8.7802 Å; angles 136.56, 97.87, 97.87 degrees
Fractional coordinates of all 12 atoms:
La: 0.0000 0.0000 0.0000
La: 0.2539 0.7539 0.5000
La: 0.7461 0.2461 0.5000
Tb: 0.0798 0.2508 0.8290
Tb: 0.2558 0.2469 0.5027
Tb: 0.2558 0.7531 0.0089
Tb: 0.4218 0.2508 0.1710
Tb: 0.5782 0.7492 0.8290
Tb: 0.7442 0.2469 0.9911
Tb: 0.7442 0.7531 0.4973
Tb: 0.9202 0.7492 0.1710
Y: 0.5000 0.5000 0.0000

Values from the calculation:
Symmetry: Immm (71)
Calculated volume (A^3/atom): 36.0
Energy of formation from the pure elements (eV per atom): 0.2723
Uncorrected energy (eV/atom): -4.585


No. 4
La12Tb5Y2 | PBE | optimized geometry

Cell lengths 10.5460, 10.5460, 10.0701 Å; angles 116.45, 116.45, 42.89 degrees
Fractional coordinates of all 19 atoms:
La: 0.9997 0.9997 0.2041
La: 0.0003 0.0003 0.7959
La: 0.0695 0.6059 0.5122
La: 0.0900 0.5929 0.1549
La: 0.3941 0.9305 0.4878
La: 0.4071 0.9100 0.8451
La: 0.4836 0.4836 0.6398
La: 0.5164 0.5164 0.3602
La: 0.5929 0.0900 0.1549
La: 0.6059 0.0695 0.5122
La: 0.9100 0.4071 0.8451
La: 0.9305 0.3941 0.4878
Tb: 0.0000 0.0000 0.5000
Tb: 0.1759 0.1759 0.1707
Tb: 0.3188 0.3188 0.8085
Tb: 0.6812 0.6812 0.1915
Tb: 0.8241 0.8241 0.8293
Y: 0.3021 0.6979 0.0000
Y: 0.6979 0.3021 0.0000

Values from the calculation:
Symmetry: C2/m (12)
Calculated volume (A^3/atom): 35.2
Energy of formation from the pure elements (eV per atom): 0.1558
Uncorrected energy (eV/atom): -4.855


No. 5
La3Tb2Y3 | PBE | optimized geometry

Cell lengths 10.9547, 10.9547, 10.9547 Å; angles 153.12, 152.68, 38.70 degrees
Fractional coordinates of all 8 atoms:
La: 0.0000 0.0000 0.0000
La: 0.3748 0.8748 0.5000
La: 0.6252 0.1252 0.5000
Tb: 0.2488 0.2488 0.0000
Tb: 0.7512 0.7512 0.0000
Y: 0.1279 0.6279 0.5000
Y: 0.5000 0.5000 0.0000
Y: 0.8721 0.3721 0.5000

Values from the calculation:
Symmetry: Immm (71)
Calculated volume (A^3/atom): 34.0
Energy of formation from the pure elements (eV per atom): 0.0312
Uncorrected energy (eV/atom): -5.398


No. 6
La3Tb4Y4 | PBE | optimized geometry

Cell lengths 10.7239, 6.7479, 6.7479 Å; angles 50.70, 90.00, 90.00 degrees
Fractional coordinates of all 11 atoms:
La: 0.0000 0.0000 0.0000
La: 0.2947 0.1493 0.1493
La: 0.7053 0.1493 0.1493
Tb: 0.0000 0.6997 0.6997
Tb: 0.2156 0.4977 0.4977
Tb: 0.5000 0.6327 0.6327
Tb: 0.7844 0.4977 0.4977
Y: 0.0000 0.3029 0.3029
Y: 0.2950 0.8465 0.8465
Y: 0.5000 0.3621 0.3621
Y: 0.7050 0.8465 0.8465

Values from the calculation:
Symmetry: Amm2 (38)
Calculated volume (A^3/atom): 34.4
Energy of formation from the pure elements (eV per atom): 0.1531
Uncorrected energy (eV/atom): -5.225


No. 7
LaTb4Y5 | PBE | optimized geometry

Cell lengths 7.9392, 7.9392, 7.9392 Å; angles 99.09, 99.09, 133.16 degrees
Fractional coordinates of all 10 atoms:
La: 0.0000 0.0000 0.0000
Tb: 0.1208 0.8191 0.4038
Tb: 0.4152 0.7170 0.5962
Tb: 0.7170 0.1208 0.3018
Tb: 0.8191 0.4152 0.6982
Y: 0.0399 0.1268 0.6181
Y: 0.1268 0.5088 0.0869
Y: 0.4219 0.0399 0.9131
Y: 0.5088 0.4219 0.3819
Y: 0.5439 0.5439 0.0000

Values from the calculation:
Symmetry: I4 (79)
Calculated volume (A^3/atom): 33.5
Energy of formation from the pure elements (eV per atom): 0.2983
Uncorrected energy (eV/atom): -5.279


No. 8
La2Tb2Y3 | PBE | optimized geometry

Cell lengths 6.2583, 6.2656, 12.5723 Å; angles 99.72, 99.81, 99.33 degrees
Fractional coordinates of all 14 atoms:
La: 0.0690 0.1399 0.1416
La: 0.0735 0.1401 0.6425
La: 0.9265 0.8599 0.3575
La: 0.9310 0.8601 0.8584
Tb: 0.2161 0.4296 0.9292
Tb: 0.3591 0.7130 0.7142
Tb: 0.6409 0.2870 0.2858
Tb: 0.7839 0.5704 0.0708
Y: 0.2163 0.4294 0.4291
Y: 0.3592 0.7127 0.2134
Y: 0.5000 0.0000 0.0000
Y: 0.5000 0.0000 0.5000
Y: 0.6408 0.2873 0.7866
Y: 0.7837 0.5706 0.5709

Values from the calculation:
Symmetry: P-1 (2)
Calculated volume (A^3/atom): 33.5
Energy of formation from the pure elements (eV per atom): 0.0246
Uncorrected energy (eV/atom): -5.476